Tb3PrTm3 | GGA-PBE | relaxed

Values from the calculation:
Energy of formation from the pure elements = 0.209 eV/atom
M_tot = 0.0 μB per formula unit
Energy above the most stable polymorph in this dataset = 0.197 eV/atom

Cell lengths 8.6023, 8.6023, 21.7749 Å; angles 90.00, 90.00, 120.00 degrees
Space group R-3 (No. 148, hexagonal axes)
Asymmetric unit:
Tb 0.0548 0.4489 0.3797
Pr 0.0000 0.0000 0.1517
Tm 0.0056 0.2307 0.5590